No. 1
Ba8IrAu3 | PBE | optimized geometry

Unit cell a=8.191 b=8.191 c=9.405 alpha=90.00 beta=90.00 gamma=111.16
Sites, in units of the cell vectors:
1 Au 0.500 0.500 0.000
2 Au 0.000 0.500 0.248
3 Au 0.500 0.000 0.752
4 Ba 0.272 0.261 0.734
5 Ba 0.728 0.739 0.734
6 Ba 0.258 0.742 0.000
7 Ba 0.739 0.728 0.266
8 Ba 0.261 0.272 0.266
9 Ba 0.272 0.728 0.500
10 Ba 0.728 0.272 0.500
11 Ba 0.742 0.258 0.000
12 Ir 0.500 0.500 0.500

* total energy: -3.29 eV/atom
* formation energy from the elements: -5.35 eV/f.u.
* total magnetic moment: 0.00 μB/f.u.
* space-group type: C222, No. 21
* density of states at the Fermi level: 6.6 states/eV per cell

---

No. 2
BaIrAu2 | PBE | optimized geometry

Unit cell a=5.076 b=5.076 c=5.076 alpha=60.00 beta=60.00 gamma=60.00
Sites, in units of the cell vectors:
1 Au 0.250 0.250 0.250
2 Au 0.750 0.750 0.750
3 Ir 0.500 0.500 0.500
4 Ba 0.000 0.000 0.000

* total energy: -4.06 eV/atom
* formation energy from the elements: 1.08 eV/f.u.
* total magnetic moment: 0.00 μB/f.u.
* space-group type: Fm-3m, No. 225
* density of states at the Fermi level: 3.8 states/eV per cell

---

No. 3
BaIrAu2 | PBE | optimized geometry

Unit cell a=7.299 b=7.299 c=7.299 alpha=152.69 beta=145.76 gamma=44.34
Sites, in units of the cell vectors:
1 Ir 0.763 0.263 0.500
2 Au 0.257 0.757 0.500
3 Au 0.922 0.922 0.000
4 Ba 0.558 0.558 0.000

* total energy: -4.22 eV/atom
* formation energy from the elements: 0.44 eV/f.u.
* total magnetic moment: 0.00 μB/f.u.
* space-group type: Imm2, No. 44
* density of states at the Fermi level: 6.0 states/eV per cell

---

No. 4
K2Ba6IrAu | PBE | optimized geometry

Unit cell a=9.197 b=9.197 c=16.137 alpha=73.44 beta=73.44 gamma=60.00
Sites, in units of the cell vectors:
1 Ir 0.500 0.500 0.500
2 Ir 0.000 0.000 0.000
3 Ba 0.801 0.281 0.116
4 Ba 0.616 0.616 0.620
5 Ba 0.719 0.199 0.884
6 Ba 0.384 0.851 0.380
7 Ba 0.851 0.384 0.380
8 Ba 0.616 0.149 0.620
9 Ba 0.199 0.719 0.884
10 Ba 0.199 0.199 0.884
11 Ba 0.149 0.616 0.620
12 Ba 0.384 0.384 0.380
13 Ba 0.281 0.801 0.116
14 Ba 0.801 0.801 0.116
15 K 0.875 0.875 0.374
16 K 0.712 0.712 0.865
17 K 0.125 0.125 0.626
18 K 0.288 0.288 0.135
19 Au 0.587 0.587 0.238
20 Au 0.413 0.413 0.762

* total energy: -2.80 eV/atom
* formation energy from the elements: -2.17 eV/f.u.
* total magnetic moment: 0.00 μB/f.u.
* space-group type: R-3m, No. 166
* density of states at the Fermi level: 16.0 states/eV per cell

---

No. 5
K2BaIrAu | PBE | optimized geometry

Unit cell a=5.907 b=5.266 c=5.907 alpha=90.00 beta=90.00 gamma=90.00
Sites, in units of the cell vectors:
1 K 0.000 0.000 0.500
2 K 0.500 0.000 0.000
3 Au 0.000 0.500 0.000
4 Ir 0.000 0.000 0.000
5 Ba 0.500 0.500 0.500

* total energy: -2.75 eV/atom
* formation energy from the elements: 2.50 eV/f.u.
* total magnetic moment: 0.00 μB/f.u.
* space-group type: P4/mmm, No. 123
* density of states at the Fermi level: 4.7 states/eV per cell

---

No. 6
Ba2LaIrAu | PBE | optimized geometry

Unit cell a=6.021 b=5.720 c=6.021 alpha=90.00 beta=90.00 gamma=90.00
Sites, in units of the cell vectors:
1 Ir 0.500 0.500 0.500
2 Ba 0.000 0.000 0.500
3 Ba 0.500 0.000 0.000
4 Au 0.000 0.000 0.000
5 La 0.000 0.500 0.000

* total energy: -3.72 eV/atom
* formation energy from the elements: 2.33 eV/f.u.
* total magnetic moment: 0.00 μB/f.u.
* space-group type: P4/mmm, No. 123
* density of states at the Fermi level: 4.4 states/eV per cell

---

No. 7
Ba2IrAuN | PBE | optimized geometry

Unit cell a=5.830 b=5.830 c=3.812 alpha=90.00 beta=90.00 gamma=90.00
Sites, in units of the cell vectors:
1 Ir 0.000 0.000 0.500
2 Au 0.500 0.500 0.500
3 Ba 0.500 0.000 0.000
4 Ba 0.000 0.500 0.000
5 N 0.000 0.000 0.000

* total energy: -5.49 eV/atom
* total magnetic moment: 0.00 μB/f.u.
* space-group type: P4/mmm, No. 123
* density of states at the Fermi level: 2.9 states/eV per cell

---

No. 8
Ba6Na3IrAu2 | PBE | optimized geometry

Unit cell a=8.064 b=8.064 c=10.306 alpha=96.92 beta=96.92 gamma=119.11
Sites, in units of the cell vectors:
1 Ba 0.366 0.052 0.172
2 Ba 0.052 0.366 0.172
3 Ba 0.746 0.746 0.181
4 Ba 0.948 0.634 0.828
5 Ba 0.254 0.254 0.819
6 Ba 0.634 0.948 0.828
7 Au 0.337 0.663 0.000
8 Au 0.663 0.337 0.000
9 Na 0.194 0.806 0.500
10 Na 0.806 0.194 0.500
11 Na 0.500 0.500 0.500
12 Ir 0.000 0.000 0.000

* total energy: -2.86 eV/atom
* formation energy from the elements: -3.37 eV/f.u.
* total magnetic moment: 0.00 μB/f.u.
* space-group type: C2/m, No. 12
* density of states at the Fermi level: 8.0 states/eV per cell

---

No. 9
Ba6Na2IrAu | PBE | optimized geometry

Unit cell a=9.004 b=9.005 c=12.732 alpha=90.00 beta=90.00 gamma=90.00
Sites, in units of the cell vectors:
1 Ba 0.741 0.491 0.500
2 Ba 0.259 0.491 0.500
3 Ba 0.741 0.009 0.500
4 Ba 0.241 0.509 0.000
5 Ba 0.241 0.991 0.000
6 Ba 0.500 0.250 0.741
7 Ba 0.000 0.750 0.241
8 Ba 0.000 0.750 0.759
9 Ba 0.500 0.250 0.259
10 Ba 0.759 0.509 0.000
11 Ba 0.259 0.009 0.500
12 Ba 0.759 0.991 0.000
13 Au 0.500 0.250 0.000
14 Au 0.000 0.750 0.500
15 Ir 0.500 0.250 0.500
16 Ir 0.000 0.750 0.000
17 Na 0.500 0.750 0.750
18 Na 0.500 0.750 0.250
19 Na 0.000 0.250 0.250
20 Na 0.000 0.250 0.750

* total energy: -2.87 eV/atom
* formation energy from the elements: -2.36 eV/f.u.
* total magnetic moment: 0.00 μB/f.u.
* space-group type: Fm-3m, No. 225
* density of states at the Fermi level: 13.1 states/eV per cell

---

No. 10
Ba8NaIrAu2 | PBE | optimized geometry

Unit cell a=8.005 b=7.722 c=9.849 alpha=89.89 beta=89.94 gamma=88.87
Sites, in units of the cell vectors:
1 Ba 0.169 0.762 0.785
2 Ba 0.362 0.277 0.501
3 Ba 0.832 0.239 0.785
4 Ba 0.831 0.238 0.215
5 Ba 0.688 0.755 0.000
6 Ba 0.168 0.761 0.215
7 Ba 0.638 0.723 0.499
8 Ba 0.312 0.245 0.000
9 Na 0.000 0.000 0.500
10 Ir 0.000 0.000 0.000
11 Au 0.500 0.500 0.761
12 Au 0.500 0.500 0.239

* total energy: -2.94 eV/atom
* formation energy from the elements: -3.20 eV/f.u.
* total magnetic moment: 0.00 μB/f.u.
* space-group type: P-1, No. 2
* density of states at the Fermi level: 9.6 states/eV per cell

---

No. 11
Ba2PIrAu | PBE | optimized geometry

Unit cell a=6.166 b=6.166 c=4.427 alpha=90.00 beta=90.00 gamma=90.00
Sites, in units of the cell vectors:
1 Ba 0.000 0.500 0.000
2 Ba 0.500 0.000 0.000
3 P 0.000 0.000 0.500
4 Au 0.500 0.500 0.500
5 Ir 0.000 0.000 0.000

* total energy: -4.86 eV/atom
* formation energy from the elements: -2.89 eV/f.u.
* total magnetic moment: 0.00 μB/f.u.
* space-group type: P4/mmm, No. 123
* density of states at the Fermi level: 2.6 states/eV per cell

---

No. 12
Ba2IrPdAu | PBE | optimized geometry

Unit cell a=6.069 b=4.962 c=6.069 alpha=90.00 beta=90.00 gamma=90.00
Last column: magnetic moment on the atom in μB.
Sites, in units of the cell vectors:
1 Pd 0.000 0.500 0.000  0.07
2 Ir 0.500 0.500 0.500  1.09
3 Au 0.000 0.000 0.000  0.00
4 Ba 0.000 0.000 0.500  -0.02
5 Ba 0.500 0.000 0.000  -0.03

* total energy: -3.80 eV/atom
* formation energy from the elements: 2.19 eV/f.u.
* total magnetic moment: 1.06 μB/f.u.
* space-group type: P4/mmm, No. 123
* density of states at the Fermi level: 4.5 states/eV per cell

---

No. 13
Ba8IrPdAu2 | PBE | optimized geometry

Unit cell a=7.787 b=7.587 c=9.483 alpha=90.00 beta=90.00 gamma=90.50
Sites, in units of the cell vectors:
1 Pd 0.000 0.000 0.500
2 Ba 0.320 0.265 0.500
3 Ba 0.833 0.219 0.241
4 Ba 0.680 0.735 0.500
5 Ba 0.833 0.219 0.759
6 Ba 0.167 0.781 0.241
7 Ba 0.167 0.781 0.759
8 Ba 0.311 0.256 0.000
9 Ba 0.689 0.744 0.000
10 Ir 0.000 0.000 0.000
11 Au 0.500 0.500 0.752
12 Au 0.500 0.500 0.248

* total energy: -3.42 eV/atom
* formation energy from the elements: -5.02 eV/f.u.
* total magnetic moment: 0.00 μB/f.u.
* space-group type: P2/m, No. 10
* density of states at the Fermi level: 5.2 states/eV per cell

---

No. 14
Ba6IrPdAu2 | PBE | optimized geometry

Unit cell a=8.078 b=8.075 c=8.828 alpha=62.77 beta=62.77 gamma=59.97
Sites, in units of the cell vectors:
1 Au 0.511 0.511 0.467
2 Au 0.008 0.008 0.977
3 Ba 0.946 0.579 0.250
4 Ba 0.432 0.711 0.763
5 Ba 0.225 0.946 0.250
6 Ba 0.711 0.093 0.764
7 Ba 0.578 0.226 0.250
8 Ba 0.094 0.431 0.763
9 Ir 0.328 0.328 0.017
10 Pd 0.828 0.828 0.515

* total energy: -3.64 eV/atom
* formation energy from the elements: -4.21 eV/f.u.
* total magnetic moment: 0.00 μB/f.u.
* space-group type: R3, No. 146
* density of states at the Fermi level: 6.8 states/eV per cell

---

No. 15
Ba6IrPtAu2 | PBE | optimized geometry

Unit cell a=8.075 b=8.075 c=8.780 alpha=62.62 beta=62.62 gamma=59.96
Sites, in units of the cell vectors:
1 Pt 0.827 0.827 0.519
2 Ir 0.327 0.327 0.019
3 Ba 0.091 0.440 0.762
4 Ba 0.440 0.707 0.762
5 Ba 0.707 0.090 0.763
6 Ba 0.582 0.216 0.254
7 Ba 0.948 0.582 0.254
8 Ba 0.216 0.948 0.255
9 Au 0.011 0.011 0.966
10 Au 0.513 0.512 0.463

* total energy: -3.77 eV/atom
* formation energy from the elements: -4.74 eV/f.u.
* total magnetic moment: 0.00 μB/f.u.
* space-group type: P1, No. 1
* density of states at the Fermi level: 7.2 states/eV per cell

---

No. 16
Ba8IrPt2Au | PBE | optimized geometry

Unit cell a=7.650 b=7.508 c=9.427 alpha=90.00 beta=90.00 gamma=89.84
Sites, in units of the cell vectors:
1 Pt 0.500 0.500 0.247
2 Pt 0.500 0.500 0.753
3 Ba 0.670 0.713 0.500
4 Ba 0.330 0.287 0.500
5 Ba 0.685 0.730 0.000
6 Ba 0.180 0.776 0.236
7 Ba 0.820 0.224 0.236
8 Ba 0.180 0.776 0.764
9 Ba 0.820 0.224 0.764
10 Ba 0.315 0.270 0.000
11 Ir 0.000 0.000 0.000
12 Au 0.000 0.000 0.500

* total energy: -3.79 eV/atom
* formation energy from the elements: -5.88 eV/f.u.
* total magnetic moment: 0.00 μB/f.u.
* space-group type: P2/m, No. 10
* density of states at the Fermi level: 4.4 states/eV per cell

---

No. 17
Ba8IrPtAu2 | PBE | optimized geometry

Unit cell a=7.775 b=7.570 c=9.468 alpha=90.00 beta=90.00 gamma=90.57
Sites, in units of the cell vectors:
1 Ba 0.166 0.783 0.244
2 Ba 0.683 0.737 0.500
3 Ba 0.689 0.744 0.000
4 Ba 0.834 0.217 0.244
5 Ba 0.311 0.256 0.000
6 Ba 0.166 0.783 0.756
7 Ba 0.834 0.217 0.756
8 Ba 0.317 0.263 0.500
9 Pt 0.000 0.000 0.500
10 Au 0.500 0.500 0.249
11 Au 0.500 0.500 0.751
12 Ir 0.000 0.000 0.000

* total energy: -3.54 eV/atom
* formation energy from the elements: -5.67 eV/f.u.
* total magnetic moment: 0.00 μB/f.u.
* space-group type: P2/m, No. 10
* density of states at the Fermi level: 5.2 states/eV per cell

---

No. 18
Ba2SiIrAu | PBE | optimized geometry

Unit cell a=6.127 b=6.127 c=4.562 alpha=90.00 beta=90.00 gamma=90.00
Sites, in units of the cell vectors:
1 Ba 0.000 0.500 0.000
2 Ba 0.500 0.000 0.000
3 Si 0.000 0.000 0.500
4 Au 0.500 0.500 0.500
5 Ir 0.000 0.000 0.000

* total energy: -4.69 eV/atom
* total magnetic moment: 0.00 μB/f.u.
* space-group type: P4/mmm, No. 123
* density of states at the Fermi level: 2.6 states/eV per cell

---

No. 19
Ba2Sn4IrAu3 | PBE | optimized geometry

Unit cell a=4.836 b=4.836 c=11.258 alpha=90.00 beta=90.00 gamma=90.00
Sites, in units of the cell vectors:
1 Ba 0.000 0.500 0.741
2 Ba 0.500 0.000 0.259
3 Sn 0.500 0.000 0.614
4 Sn 0.000 0.500 0.386
5 Sn 0.000 0.000 0.000
6 Sn 0.500 0.500 0.000
7 Au 0.000 0.000 0.500
8 Au 0.000 0.500 0.138
9 Au 0.500 0.000 0.862
10 Ir 0.500 0.500 0.500

* total energy: -4.37 eV/atom
* formation energy from the elements: -5.16 eV/f.u.
* total magnetic moment: 0.00 μB/f.u.
* space-group type: P-4m2, No. 115
* density of states at the Fermi level: 4.5 states/eV per cell

---

No. 20
BaTiIr2Au | PBE | optimized geometry

Unit cell a=5.165 b=4.705 c=5.165 alpha=90.00 beta=90.00 gamma=90.00
Sites, in units of the cell vectors:
1 Au 0.000 0.000 0.000
2 Ti 0.000 0.500 0.000
3 Ba 0.500 0.500 0.500
4 Ir 0.500 0.000 0.000
5 Ir 0.000 0.000 0.500

* total energy: -5.24 eV/atom
* formation energy from the elements: 4.60 eV/f.u.
* total magnetic moment: 0.00 μB/f.u.
* space-group type: P4/mmm, No. 123
* density of states at the Fermi level: 8.4 states/eV per cell